Compound: SrSiPt
Source: the Open Quantum Materials Database
Functional: PBE
Structure: optimized geometry

As for the total energy: -3.88 eV/atom.

The space group is F-43m (No. 216) and the conventional cell measures 6.873, 6.873 and 6.873 Å, with angles of 90.00, 90.00 and 90.00 degrees. Symmetry generates all atoms from Sr at (0.000, 0.000, 0.000), Si at (0.250, 0.250, 0.250) and Pt at (0.250, 0.250, 0.750).